A relaxed structure of LiPuAuO5, computed with PBE.

## Properties
Uncorrected energy: -7.089 eV per atom
Calculated density: 7.41 g/cm3

a b c (Å): 5.7112 5.7112 7.9890
angles (deg): 106.96 106.96 91.74
With the nearest neighbours (Å) after each atom.
Fractional positions:
Li 0.0845 0.9155 0.7500  2 O 1.98
Li 0.9155 0.0845 0.2500  2 O 1.98
Pu 0.0000 0.5000 0.0000  4 O 1.91-2.03
Pu 0.5000 0.0000 0.5000  4 O 1.91-2.03
Au 0.4827 0.5173 0.7500  3 O 2.09-2.31
Au 0.5173 0.4827 0.2500  3 O 2.09-2.31
O 0.1441 0.6438 0.8589  1 Pu 1.91, 1 Li 1.98
O 0.2357 0.7643 0.2500  2 Pu 2.15, 1 Au 2.31
O 0.2520 0.2573 0.0108  1 Pu 2.03, 1 Au 2.09
O 0.2573 0.2520 0.5108  1 Pu 2.03, 1 Au 2.09
O 0.3562 0.8559 0.6411  1 Pu 1.91, 1 Li 1.98
O 0.6438 0.1441 0.3589  1 Pu 1.91, 1 Li 1.98
O 0.7427 0.7480 0.4892  1 Pu 2.03, 1 Au 2.09
O 0.7480 0.7427 0.9892  1 Pu 2.03, 1 Au 2.09
O 0.7643 0.2357 0.7500  2 Pu 2.15, 1 Au 2.31
O 0.8559 0.3562 0.1411  1 Pu 1.91, 1 Li 1.98